Entry 1:
A relaxed structure of Ca2Hg2S, computed with PBE.

Computed properties:
Total energy   -2.54 eV/atom
SG   P4/mbm

Cell and atoms, written as POSCAR:
```
Ca2Hg2S
1.0
7.562 0.000 0.000
0.000 7.562 0.000
0.000 0.000 5.136
Ca Hg S
4 4 2
direct
0.187 0.313 0.000
0.313 0.813 0.000
0.687 0.187 0.000
0.813 0.687 0.000
0.136 0.636 0.500
0.364 0.136 0.500
0.636 0.864 0.500
0.864 0.364 0.500
0.000 0.000 0.000
0.500 0.500 0.000
```

Entry 2:
A relaxed structure of AsP2RhF, computed with PBE.

Computed properties:
Total energy   -4.15 eV/atom
SG   P4/mmm

Cell and atoms, written as POSCAR:
```
AsP2RhF
1.0
4.695 0.000 0.000
0.000 4.695 0.000
0.000 0.000 4.642
As P Rh F
1 2 1 1
direct
0.000 0.000 0.000
0.000 0.500 0.000
0.500 0.000 0.000
0.000 0.000 0.500
0.500 0.500 0.500
```

Entry 3:
A relaxed structure of RbYRhSe2, computed with PBE.

Computed properties:
Total energy   -3.57 eV/atom
SG   P4/mmm

Cell and atoms, written as POSCAR:
```
RbYRhSe2
1.0
5.714 0.000 0.000
0.000 5.714 0.000
0.000 0.000 4.740
Rb Y Rh Se
1 1 1 2
direct
0.000 0.000 0.000
0.500 0.500 0.500
0.000 0.000 0.500
0.000 0.500 0.000
0.500 0.000 0.000
```

Entry 4:
A relaxed structure of PrTiZn2, computed with PBE.

Computed properties:
E_form   -0.160 eV per atom
Offset from the most stable computed form   0 meV/atom
SG   P4/mmm

Cell and atoms, written as POSCAR:
```
PrTiZn2
1.0
3.371 0.000 0.000
0.000 3.371 0.000
0.000 0.000 7.067
Pr Ti Zn
1 1 2
direct
0.000 0.000 0.000
0.000 0.000 0.500
0.500 0.500 0.305
0.500 0.500 0.695
```

Entry 5:
A relaxed structure of Hf3BiSb, computed with PBE.

Computed properties:
Offset from the most stable computed form   0 meV/atom
SG   C2/c

Cell and atoms, written as POSCAR:
```
Hf3BiSb
1.0
7.839 -2.866 0.000
7.839 2.866 0.000
-2.530 0.000 10.300
Hf Bi Sb
12 4 4
direct
0.084 0.116 0.784
0.116 0.084 0.284
0.187 0.696 0.974
0.243 0.339 0.731
0.304 0.813 0.526
0.339 0.243 0.231
0.661 0.757 0.769
0.696 0.187 0.474
0.757 0.661 0.269
0.813 0.304 0.026
0.884 0.916 0.716
0.916 0.884 0.216
0.120 0.602 0.468
0.398 0.880 0.032
0.602 0.120 0.968
0.880 0.398 0.532
0.000 0.500 0.000
0.499 0.501 0.750
0.500 0.000 0.500
0.501 0.499 0.250
```

Entry 6:
A relaxed structure of MnAgBPd2, computed with PBE.

Computed properties:
E_form   0.005 eV per atom
SG   P4/mmm

Cell and atoms, written as POSCAR:
```
MnAgBPd2
1.0
4.203 0.000 0.000
0.000 4.203 0.000
0.000 0.000 4.100
Mn Ag B Pd
1 1 1 2
direct
0.000 0.000 0.000
0.500 0.500 0.000
0.000 0.000 0.500
0.000 0.500 0.500
0.500 0.000 0.500
```

Entry 7:
A relaxed structure of Y2BeIn, computed with PBE.

Computed properties:
E_form   -0.120 eV per atom
Offset from the most stable computed form   100 meV/atom
SG   Cm

Cell and atoms, written as POSCAR:
```
Y2BeIn
1.0
5.879 -1.764 0.000
5.879 1.764 0.000
-2.108 0.000 4.527
Y Be In
2 1 1
direct
0.000 0.000 0.000
0.219 0.219 0.719
0.474 0.474 0.477
0.793 0.793 0.293
```